Record 1
Here is U8CrSe17 after structural relaxation from the Alexandria database. Energies are from GGA-PBE.

```
data_U8CrSe17
_symmetry_space_group_name_H-M 'C 1 2/m 1'
_symmetry_Int_Tables_number 12
_symmetry_space_group_name_Hall '-C 2y'
_cell_length_a 13.865
_cell_length_b 8.762
_cell_length_c 10.868
_cell_angle_alpha 90.00
_cell_angle_beta 101.66
_cell_angle_gamma 90.00
loop_
_atom_site_label
_atom_site_type_symbol
_atom_site_fract_x
_atom_site_fract_y
_atom_site_fract_z
_atom_site_occupancy
U1 U 0.062 0.242 0.201 1
U2 U 0.180 0.500 0.513 1
U3 U 0.202 0.000 0.958 1
Cr1 Cr 0.000 0.000 0.500 1
Se1 Se 0.000 0.000 0.000 1
Se2 Se 0.020 0.500 0.670 1
Se3 Se 0.056 0.000 0.728 1
Se4 Se 0.127 0.308 0.963 1
Se5 Se 0.134 0.188 0.472 1
Se6 Se 0.201 0.500 0.255 1
Se7 Se 0.216 0.000 0.223 1
```

Values from the calculation:
Energy ... -7.2367 eV per atom


Record 2
Here is UCr2Se6 after structural relaxation from the Alexandria database. Energies are from GGA-PBE.

```
data_UCr2Se6
_symmetry_space_group_name_H-M 'C 1 2/m 1'
_symmetry_Int_Tables_number 12
_symmetry_space_group_name_Hall '-C 2y'
_cell_length_a 16.993
_cell_length_b 3.811
_cell_length_c 7.913
_cell_angle_alpha 90.00
_cell_angle_beta 111.10
_cell_angle_gamma 90.00
loop_
_atom_site_label
_atom_site_type_symbol
_atom_site_fract_x
_atom_site_fract_y
_atom_site_fract_z
_atom_site_occupancy
U1 U 0.000 0.000 0.000 1
Cr1 Cr 0.169 0.500 0.341 1
Se1 Se 0.008 0.500 0.256 1
Se2 Se 0.169 0.000 0.116 1
Se3 Se 0.176 0.000 0.555 1
```

Values from the calculation:
Excess energy over the best structure of this formula in the dataset ... 0.0 meV/atom


Record 3
Here is UCrSe2 after structural relaxation from the Alexandria database. Energies are from GGA-PBE.

```
data_UCrSe2
_symmetry_space_group_name_H-M 'R -3 m'
_symmetry_Int_Tables_number 166
_symmetry_space_group_name_Hall '-R 3 2"'
_cell_length_a 4.0455
_cell_length_b 4.0455
_cell_length_c 25.0648
_cell_angle_alpha 90.00
_cell_angle_beta 90.00
_cell_angle_gamma 120.00
loop_
_atom_site_label
_atom_site_type_symbol
_atom_site_fract_x
_atom_site_fract_y
_atom_site_fract_z
_atom_site_occupancy
U1 U 0.0000 0.0000 0.0000 1
Cr1 Cr 0.0000 0.0000 0.5000 1
Se1 Se 0.0000 0.0000 0.4009 1
```

Values from the calculation:
Energy ... -7.3168 eV per atom


Record 4
Here is UCr2Se6 after structural relaxation from the Alexandria database. Energies are from GGA-PBE.

```
data_UCr2Se6
_symmetry_space_group_name_H-M 'C 1 2/m 1'
_symmetry_Int_Tables_number 12
_symmetry_space_group_name_Hall '-C 2y'
_cell_length_a 12.815
_cell_length_b 4.884
_cell_length_c 8.409
_cell_angle_alpha 90.00
_cell_angle_beta 124.62
_cell_angle_gamma 90.00
loop_
_atom_site_label
_atom_site_type_symbol
_atom_site_fract_x
_atom_site_fract_y
_atom_site_fract_z
_atom_site_occupancy
U1 U 0.000 0.000 0.000 1
Cr1 Cr 0.176 0.000 0.583 1
Se1 Se 0.041 0.000 0.714 1
Se2 Se 0.140 0.500 0.072 1
Se3 Se 0.238 0.500 0.622 1
```

Values from the calculation:
Excess energy over the best structure of this formula in the dataset ... 96.8 meV/atom


Record 5
Here is UCrSe3 after structural relaxation from the Alexandria database. Energies are from GGA-PBE.

```
data_UCrSe3
_symmetry_space_group_name_H-M 'P n m a'
_symmetry_Int_Tables_number 62
_symmetry_space_group_name_Hall '-P 2ac 2n'
_cell_length_a 7.410
_cell_length_b 9.344
_cell_length_c 6.410
_cell_angle_alpha 90.00
_cell_angle_beta 90.00
_cell_angle_gamma 90.00
loop_
_atom_site_label
_atom_site_type_symbol
_atom_site_fract_x
_atom_site_fract_y
_atom_site_fract_z
_atom_site_occupancy
U1 U 0.125 0.250 0.062 1
Cr1 Cr 0.000 0.000 0.500 1
Se1 Se 0.042 0.750 0.348 1
Se2 Se 0.176 0.558 0.839 1
```

Values from the calculation:
Excess energy over the best structure of this formula in the dataset ... 0.0 meV/atom


Record 6
Here is U6Cr3Se14 after structural relaxation from the Alexandria database. Energies are from GGA-PBE.

```
data_U6Cr3Se14
_symmetry_space_group_name_H-M 'P 3'
_symmetry_Int_Tables_number 143
_symmetry_space_group_name_Hall 'P 3'
_cell_length_a 10.1973
_cell_length_b 10.1973
_cell_length_c 5.9925
_cell_angle_alpha 90.00
_cell_angle_beta 90.00
_cell_angle_gamma 120.00
loop_
_atom_site_label
_atom_site_type_symbol
_atom_site_fract_x
_atom_site_fract_y
_atom_site_fract_z
_atom_site_occupancy
U1 U 0.0379 0.4817 0.0000 1
U2 U 0.2945 0.1892 0.5050 1
Cr1 Cr 0.0000 0.0000 0.1179 1
Cr2 Cr 0.3333 0.6667 0.6107 1
Cr3 Cr 0.6667 0.3333 0.7383 1
Se1 Se 0.0000 0.0000 0.7143 1
Se2 Se 0.0982 0.2574 0.2475 1
Se3 Se 0.1779 0.7673 0.7478 1
Se4 Se 0.3333 0.6667 0.2090 1
Se5 Se 0.4192 0.2318 0.9750 1
Se6 Se 0.5169 0.0873 0.4989 1
```

Values from the calculation:
Energy ... -7.2460 eV per atom


Record 7
Here is U3Cr5Se12 after structural relaxation from the Alexandria database. Energies are from GGA-PBE.

```
data_U3Cr5Se12
_symmetry_space_group_name_H-M 'I a -3 d'
_symmetry_Int_Tables_number 230
_symmetry_space_group_name_Hall '-I 4bd 2c 3'
_cell_length_a 15.633
_cell_length_b 15.633
_cell_length_c 15.633
_cell_angle_alpha 90.00
_cell_angle_beta 90.00
_cell_angle_gamma 90.00
loop_
_atom_site_label
_atom_site_type_symbol
_atom_site_fract_x
_atom_site_fract_y
_atom_site_fract_z
_atom_site_occupancy
U1 U 0.000 0.250 0.125 1
Cr1 Cr 0.000 0.000 0.000 1
Cr2 Cr 0.000 0.250 0.375 1
Se1 Se 0.026 0.062 0.649 1
```

Values from the calculation:
Energy ... -6.8772 eV per atom


Record 8
Here is U3CrSe6 after structural relaxation from the Alexandria database. Energies are from GGA-PBE.

```
data_U3CrSe6
_symmetry_space_group_name_H-M 'C m c 21'
_symmetry_Int_Tables_number 36
_symmetry_space_group_name_Hall 'C 2c -2'
_cell_length_a 11.134
_cell_length_b 13.576
_cell_length_c 6.806
_cell_angle_alpha 90.00
_cell_angle_beta 90.00
_cell_angle_gamma 90.00
loop_
_atom_site_label
_atom_site_type_symbol
_atom_site_fract_x
_atom_site_fract_y
_atom_site_fract_z
_atom_site_occupancy
U1 U 0.000 0.102 0.000 1
U2 U 0.175 0.400 0.110 1
Cr1 Cr 0.000 0.307 0.643 1
Se1 Se 0.000 0.268 0.281 1
Se2 Se 0.000 0.472 0.818 1
Se3 Se 0.163 0.037 0.305 1
Se4 Se 0.174 0.233 0.829 1
```

Values from the calculation:
Energy ... -7.4076 eV per atom


Record 9
Here is UCrSe3 after structural relaxation from the Alexandria database. Energies are from GGA-PBE.

```
data_UCrSe3
_symmetry_space_group_name_H-M 'C 1 2/m 1'
_symmetry_Int_Tables_number 12
_symmetry_space_group_name_Hall '-C 2y'
_cell_length_a 14.052
_cell_length_b 3.801
_cell_length_c 10.471
_cell_angle_alpha 90.00
_cell_angle_beta 127.13
_cell_angle_gamma 90.00
loop_
_atom_site_label
_atom_site_type_symbol
_atom_site_fract_x
_atom_site_fract_y
_atom_site_fract_z
_atom_site_occupancy
U1 U 0.080 0.000 0.414 1
Cr1 Cr 0.243 0.500 0.134 1
Se1 Se 0.117 0.500 0.666 1
Se2 Se 0.118 0.000 0.946 1
Se3 Se 0.163 0.500 0.303 1
```

Values from the calculation:
Excess energy over the best structure of this formula in the dataset ... 22.4 meV/atom


Record 10
Here is UCrSe4 after structural relaxation from the Alexandria database. Energies are from GGA-PBE.

```
data_UCrSe4
_symmetry_space_group_name_H-M 'C 1 2/c 1'
_symmetry_Int_Tables_number 15
_symmetry_space_group_name_Hall '-C 2yc'
_cell_length_a 8.014
_cell_length_b 13.463
_cell_length_c 6.411
_cell_angle_alpha 90.00
_cell_angle_beta 127.01
_cell_angle_gamma 90.00
loop_
_atom_site_label
_atom_site_type_symbol
_atom_site_fract_x
_atom_site_fract_y
_atom_site_fract_z
_atom_site_occupancy
U1 U 0.000 0.134 0.250 1
Cr1 Cr 0.000 0.425 0.750 1
Se1 Se 0.136 0.285 0.635 1
Se2 Se 0.249 0.036 0.766 1
```

Values from the calculation:
Energy ... -6.5685 eV per atom


Record 11
Here is UCrSe3 after structural relaxation from the Alexandria database. Energies are from GGA-PBE.

```
data_UCrSe3
_symmetry_space_group_name_H-M 'P 1 21/m 1'
_symmetry_Int_Tables_number 11
_symmetry_space_group_name_Hall '-P 2yb'
_cell_length_a 7.248
_cell_length_b 3.840
_cell_length_c 8.115
_cell_angle_alpha 90.00
_cell_angle_beta 94.12
_cell_angle_gamma 90.00
loop_
_atom_site_label
_atom_site_type_symbol
_atom_site_fract_x
_atom_site_fract_y
_atom_site_fract_z
_atom_site_occupancy
U1 U 0.124 0.250 0.284 1
Cr1 Cr 0.354 0.750 0.837 1
Se1 Se 0.125 0.250 0.892 1
Se2 Se 0.220 0.750 0.540 1
Se3 Se 0.402 0.750 0.160 1
```

Values from the calculation:
Excess energy over the best structure of this formula in the dataset ... 21.7 meV/atom


Record 12
Here is V4CrSe2 after structural relaxation from the Alexandria database. Energies are from GGA-PBE.

```
data_V4CrSe2
_symmetry_space_group_name_H-M 'I 4/m m m'
_symmetry_Int_Tables_number 139
_symmetry_space_group_name_Hall '-I 4 2'
_cell_length_a 4.343
_cell_length_b 4.343
_cell_length_c 12.739
_cell_angle_alpha 90.00
_cell_angle_beta 90.00
_cell_angle_gamma 90.00
loop_
_atom_site_label
_atom_site_type_symbol
_atom_site_fract_x
_atom_site_fract_y
_atom_site_fract_z
_atom_site_occupancy
V1 V 0.000 0.000 0.175 1
V2 V 0.000 0.500 0.000 1
Cr1 Cr 0.000 0.000 0.000 1
Se1 Se 0.000 0.000 0.371 1
```

Values from the calculation:
Energy ... -7.0768 eV per atom